{
  "formula": "LaLu2Bi",
  "functional": "GGA-PBE",
  "state": "relaxed",
  "lattice_angstrom": [[-4.391, 1.586, 1.601], [-1.581, -4.633, 0.254], [1.585, -0.287, 4.630]],
  "species": ["La", "Lu", "Lu", "Bi"],
  "frac_coords": [[0.500, 0.500, 0.500], [0.000, 0.500, 0.000], [0.000, 0.000, 0.500], [0.500, 0.000, 0.000]],
  "formation_energy_kj_per_mol_fu": -129,
  "density_kg_m3": 9769,
  "relative_energy_mev_per_atom": 0,
  "spacegroup": "P4/mmm (123)"
}